Record 1
Material: PrPaSN2
Method: DFT, PBE-GGA
State: optimized geometry

Cell and atoms, written as POSCAR:
```
PrPaSN2
1.0
-0.8635 -1.5428 3.4800
-0.2560 -3.5368 -1.6315
6.5499 1.6107 0.1502
N Pa Pr S
2 1 1 1
Cartesian
2.7503 -2.2148 -0.2995 N
2.4465 -1.2179 2.2563 N
1.9315 -0.2996 0.3464 Pa
3.6795 -3.1974 1.6846 Pr
-0.5067 -2.5480 0.9338 S
```

Computed properties:
The raw formation energy is -1704 meV per atom.

***

Record 2
Material: PrPaSb2N
Method: DFT, PBE-GGA
State: optimized geometry

Cell and atoms, written as POSCAR:
```
PrPaSb2N
1.0
-0.7498 3.5190 1.7659
-0.4611 -1.8638 3.5182
16.6184 1.9340 3.2025
Sb Pa N Pr
4 2 2 2
Cartesian
0.7313 -0.8200 1.9444 Sb
5.0917 2.3957 1.9364 Sb
15.2817 3.5816 3.9001 Sb
10.9213 0.3659 3.9081 Sb
9.0487 2.8562 2.6990 Pa
6.9642 -0.0946 3.1456 Pa
8.3092 0.9670 1.6012 N
7.7038 1.7946 4.2433 N
14.0237 0.7270 4.5060 Pr
1.9893 2.0346 1.3386 Pr
```

Computed properties:
The raw formation energy is -991 meV per atom.

***

Record 3
Material: Pr2PaSbN5
Method: DFT, PBE-GGA
State: optimized geometry

Cell and atoms, written as POSCAR:
```
Pr2PaSbN5
1.0
3.6107 0.0000 0.0000
-1.8053 7.2800 0.0000
0.0000 0.0000 10.7822
N Pr Pa Sb
10 4 2 2
Cartesian
1.8053 6.5067 5.9895 N
0.0000 7.2379 8.4608 N
1.8053 0.0421 3.0697 N
0.0000 4.3697 4.0289 N
0.0000 4.0987 6.8940 N
1.8053 1.8869 5.4337 N
0.0000 0.7733 0.5984 N
1.8053 2.9103 9.4200 N
1.8053 3.1813 1.5029 N
0.0000 5.3931 0.0426 N
0.0000 1.6639 7.5429 Pr
0.0000 1.9463 3.1084 Pr
1.8053 5.3337 8.4995 Pr
1.8053 5.6161 2.1518 Pr
0.0000 3.1544 0.0570 Pa
1.8053 4.1256 5.4481 Pa
0.0000 7.0839 5.1068 Sb
1.8053 0.1960 10.4979 Sb
```

Computed properties:
The raw formation energy is -887 meV per atom.

***

Record 4
Material: Pr2ScPaN4
Method: DFT, PBE-GGA
State: optimized geometry

Cell and atoms, written as POSCAR:
```
Pr2ScPaN4
1.0
-0.0574 1.9839 2.9183
-5.6540 -2.1272 1.3349
0.5546 -4.9071 3.3468
N Pr Pa Sc
4 2 1 1
Cartesian
-1.5498 0.1784 4.1164 N
-1.2560 -3.2536 4.3212 N
-3.6070 -5.2288 3.4837 N
-3.9009 -1.7968 3.2789 N
0.5546 -4.9071 3.3468 Pr
0.2486 -1.4616 3.1326 Pr
-2.5497 -3.5172 2.3409 Pa
-2.8557 -0.0717 2.1266 Sc
```

Computed properties:
The raw formation energy is -1544 meV per atom.

***

Record 5
Material: Pr3ScPa2N6
Method: DFT, PBE-GGA
State: optimized geometry

Cell and atoms, written as POSCAR:
```
Pr3ScPa2N6
1.0
-4.7116 2.3891 -3.0241
-0.0913 -5.8602 1.6439
-0.9381 2.6273 5.5714
N Sc Pr Pa
6 1 3 2
Cartesian
-0.5586 -1.6640 1.6134 N
-5.1825 0.8203 2.5779 N
-3.7247 -1.9989 0.1541 N
-3.6302 -1.9512 4.1462 N
-2.1109 1.1074 0.0451 N
-2.0163 1.1552 4.0371 N
0.0000 0.0000 0.0000 Sc
-1.3214 -3.1877 3.6608 Pr
-2.8705 -0.4219 2.0956 Pr
-4.4196 2.3440 0.5305 Pr
-1.6310 -3.1112 0.0884 Pa
-3.1720 -0.3599 -1.4685 Pa
```

Computed properties:
The raw formation energy is -1560 meV per atom.

***

Record 6
Material: PrScPa2N4
Method: DFT, PBE-GGA
State: optimized geometry

Cell and atoms, written as POSCAR:
```
PrScPa2N4
1.0
-1.6160 -5.3265 -4.2153
4.2609 -4.1670 3.6377
-5.0689 3.5445 3.2701
Pa N Pr Sc
4 8 2 2
Cartesian
-3.3425 -0.8910 -0.4726 Pa
-2.5345 1.7722 1.6350 Pa
-0.8080 -2.6633 -2.1076 Pa
1.3224 -4.7468 -0.2888 Pa
-5.1675 -1.3526 0.9414 N
-2.6142 -3.1210 -0.6685 N
0.5824 -2.3764 -0.2226 N
2.7434 -4.5966 1.7510 N
0.1901 -2.8280 3.3610 N
-3.0066 -3.5726 2.9152 N
-0.4994 -5.3252 1.2977 N
-1.9247 -0.6238 1.3949 N
-2.0201 -5.6378 -0.7614 Pr
2.1304 -2.0835 1.8189 Pr
-1.2121 -2.9745 1.3463 Sc
-6.6849 -1.7820 -0.9452 Sc
```

Computed properties:
The raw formation energy is -1559 meV per atom.

***

Record 7
Material: PrPaSe2N
Method: DFT, PBE-GGA
State: optimized geometry

Cell and atoms, written as POSCAR:
```
PrPaSe2N
1.0
-3.9704 0.2274 -0.4960
-0.5260 -2.5644 3.0346
-0.5476 11.5839 9.6939
Pa Pr Se N
2 2 4 2
Cartesian
-2.3006 6.7859 5.3356 Pa
-0.4952 3.6295 5.6276 Pa
-2.0559 1.6106 1.0046 Pr
-0.7398 8.8048 9.9586 Pr
-0.3102 -0.2844 2.3523 Se
-2.4856 10.6998 8.6109 Se
-2.1612 3.8367 2.8676 Se
-0.6346 6.5787 8.0957 Se
-2.5220 4.6235 6.1163 N
-0.2738 5.7920 4.8470 N
```

Computed properties:
The raw formation energy is -1754 meV per atom.

***

Record 8
Material: PrPaSeN2
Method: DFT, PBE-GGA
State: optimized geometry

Cell and atoms, written as POSCAR:
```
PrPaSeN2
1.0
-1.2750 -3.0017 -2.2315
3.0923 0.4803 -2.4130
2.4280 -2.7429 5.8012
N Pa Pr Se
2 1 1 1
Cartesian
3.1485 -1.6825 0.4642 N
0.9648 -3.4235 0.5549 N
1.0968 -1.3160 1.1436 Pa
3.2470 -4.0665 0.1159 Pr
0.9420 -1.3007 -2.2875 Se
```

Computed properties:
The raw formation energy is -1728 meV per atom.

***

Record 9
Material: PrPa2SiN5
Method: DFT, PBE-GGA
State: optimized geometry

Cell and atoms, written as POSCAR:
```
PrPa2SiN5
1.0
5.5321 0.0000 0.0000
0.0000 6.6147 0.0000
0.0000 0.0000 6.6147
Pa N Si Pr
4 10 2 2
Cartesian
2.7661 2.1304 5.4377 Pa
2.7661 4.4843 1.1769 Pa
2.7661 5.4377 4.4843 Pa
2.7661 1.1769 2.1304 Pa
1.3118 2.3913 0.9161 N
1.3118 0.9161 4.2234 N
1.3118 5.6986 2.3913 N
4.2203 2.3913 0.9161 N
1.3118 4.2234 5.6986 N
4.2203 5.6986 2.3913 N
4.2203 4.2234 5.6986 N
2.7661 0.0000 0.0000 N
4.2203 0.9161 4.2234 N
2.7661 3.3073 3.3073 N
0.0000 0.0000 3.3073 Si
0.0000 3.3073 0.0000 Si
0.0000 3.3073 3.3073 Pr
0.0000 0.0000 0.0000 Pr
```

Computed properties:
The raw formation energy is -1278 meV per atom.

***

Record 10
Material: Pr4SmPa3N8
Method: DFT, PBE-GGA
State: optimized geometry

Cell and atoms, written as POSCAR:
```
Pr4SmPa3N8
1.0
-0.0826 -6.9266 1.8675
7.0943 0.2770 1.3410
-4.4200 4.6389 3.2291
N Pr Pa Sm
8 4 3 1
Cartesian
0.7636 2.9708 4.5343 N
2.8541 0.7767 3.0069 N
1.8671 -1.7055 1.0201 N
-0.2625 -2.7874 3.4308 N
-0.2802 0.7025 2.5933 N
1.8280 -4.9815 1.9034 N
0.7246 -0.3053 5.4176 N
2.8719 -2.7133 3.8444 N
0.0000 0.0000 0.0000 Pr
-2.2100 2.3194 1.6146 Pr
-0.0413 -3.4633 0.9338 Pr
-2.2513 -1.1439 2.5483 Pr
1.2958 -1.0054 3.2189 Pa
1.3371 2.4579 2.2851 Pa
3.5058 -3.3248 1.6043 Pa
3.5471 0.1385 0.6705 Sm
```

Computed properties:
The raw formation energy is -1540 meV per atom.

***

Record 11
Material: PrSmPaN3
Method: DFT, PBE-GGA
State: optimized geometry

Cell and atoms, written as POSCAR:
```
PrSmPaN3
1.0
-0.2767 1.8357 -3.0455
-4.5719 -3.6295 -1.7723
-4.5546 6.7551 4.4855
N Pa Pr Sm
6 2 2 2
Cartesian
-6.0815 4.6310 2.2996 N
-3.5799 3.7661 -0.5375 N
-8.4430 2.8078 1.4152 N
-5.8232 1.1952 0.2052 N
-3.3217 0.3303 -2.6320 N
-0.9601 2.1535 -1.7476 N
-5.6360 6.9745 1.5831 Pa
-3.7671 -2.0132 -1.9155 Pa
-6.3338 3.6561 -0.3536 Pr
-3.0693 1.3052 0.0213 Pr
-3.6469 4.2381 1.8416 Sm
-5.7563 0.7232 -2.1739 Sm
```

Computed properties:
The raw formation energy is -1383 meV per atom.

***

Record 12
Material: PrSm3Pa2N6
Method: DFT, PBE-GGA
State: optimized geometry

Cell and atoms, written as POSCAR:
```
PrSm3Pa2N6
1.0
3.5801 0.0000 0.0000
0.0000 7.1416 0.2696
-1.7900 -2.0428 7.4916
Pa N Sm Pr
2 6 3 1
Cartesian
0.0000 1.6835 2.5806 Pa
1.7900 3.4154 5.1806 Pa
0.0000 5.0151 5.1997 N
1.7900 0.0837 2.5615 N
0.0000 1.8304 0.2810 N
1.7900 3.3356 2.7276 N
1.7900 3.2685 7.4802 N
0.0000 1.7632 5.0336 N
0.0000 5.2919 2.7236 Sm
1.7900 -0.1930 5.0375 Sm
1.7900 3.5708 0.1348 Sm
1.7900 0.0000 0.0000 Pr
```

Computed properties:
The raw formation energy is -1552 meV per atom.

***

Record 13
Material: Sr3PrPa2N6
Method: DFT, PBE-GGA
State: optimized geometry

Cell and atoms, written as POSCAR:
```
Sr3PrPa2N6
1.0
-1.9333 1.8577 2.4939
-5.6719 0.4059 -4.6991
-0.3364 -7.6971 2.7845
Pa Sr N Pr
2 3 6 1
Cartesian
-5.6335 -3.3128 0.7888 Pa
-2.3081 -2.1208 -0.2095 Pa
-5.1565 -1.9046 -2.5785 Sr
-3.8026 1.1318 -1.1026 Sr
-2.7851 -3.5289 3.1578 Sr
-6.4491 -5.2321 1.5863 N
-2.1041 -1.2657 1.9999 N
-4.5658 -1.2963 0.1144 N
-1.4926 -0.2015 -1.0069 N
-3.3758 -4.1372 0.4649 N
-5.8375 -4.1678 -1.4206 N
-0.9666 0.9289 1.2470 Pr
```

Computed properties:
The raw formation energy is -1311 meV per atom.

***

Record 14
Material: Sr4PrPa3N8
Method: DFT, PBE-GGA
State: optimized geometry

Cell and atoms, written as POSCAR:
```
Sr4PrPa3N8
1.0
-4.3803 5.0420 2.9055
-4.4144 -5.2909 2.5264
7.0827 -0.0854 1.6967
Pa Sr N Pr
3 4 8 1
Cartesian
-0.8560 -0.1672 3.5643 Pa
1.3342 -2.6882 2.1116 Pa
-4.3973 -0.1245 2.7160 Pa
0.0000 0.0000 0.0000 Sr
-2.1902 2.5210 1.4527 Sr
1.3512 2.4783 2.3011 Sr
3.5414 -0.0427 0.8483 Sr
-2.9938 -0.0370 4.6801 N
0.5683 -0.2088 5.4348 N
-4.3030 2.2026 3.0355 N
1.2818 -0.2974 2.4485 N
-1.0320 2.1633 3.8194 N
-0.6800 -2.4977 3.3092 N
2.5910 -2.5370 4.0931 N
-2.2803 -0.1256 1.6939 N
-2.2072 -2.6455 1.2632 Pr
```

Computed properties:
The raw formation energy is -1322 meV per atom.

***

Record 15
Material: SrPrPa4N8
Method: DFT, PBE-GGA
State: optimized geometry

Cell and atoms, written as POSCAR:
```
SrPrPa4N8
1.0
7.1001 0.0000 0.0000
3.5501 6.1489 0.0000
3.5501 2.0496 5.7817
N Pa Pr Sr
8 4 1 1
Cartesian
10.6502 6.1489 4.1946 N
9.1477 2.9171 4.0510 N
5.0525 2.9171 4.0510 N
5.2705 5.1556 1.6193 N
7.1001 6.4636 4.0510 N
8.9298 5.1556 1.6193 N
3.5501 2.0496 1.8421 N
7.1001 1.9866 1.6193 N
1.8088 1.0443 2.9091 Pa
3.5501 4.0603 2.9091 Pa
5.2914 1.0443 2.9091 Pa
7.1001 4.0993 0.8183 Pa
3.5501 2.0496 5.7769 Pr
7.1001 4.0993 4.9926 Sr
```

Computed properties:
The raw formation energy is -1453 meV per atom.

***

Record 16
Material: SrPr2PaN4
Method: DFT, PBE-GGA
State: optimized geometry

Cell and atoms, written as POSCAR:
```
SrPr2PaN4
1.0
3.6580 0.0000 0.0000
0.0000 6.3297 0.1299
0.0000 -2.1926 5.9167
N Sr Pr Pa
4 1 2 1
Cartesian
0.0000 -0.3624 4.5776 N
1.8290 0.9064 1.4016 N
1.8290 3.2306 4.6450 N
0.0000 4.4994 1.4690 N
1.8290 3.1648 0.0650 Sr
1.8290 -1.0963 2.9583 Pr
0.0000 2.0685 3.0233 Pr
0.0000 0.0000 0.0000 Pa
```

Computed properties:
The raw formation energy is -1303 meV per atom.

***

Record 17
Material: Sr2PrPaN4
Method: DFT, PBE-GGA
State: optimized geometry

Cell and atoms, written as POSCAR:
```
Sr2PrPaN4
1.0
-3.3932 -1.3240 -0.5649
2.4546 -4.9807 -3.0711
-0.4933 -1.3981 6.2400
Sr N Pa Pr
2 4 1 1
Cartesian
0.9807 -3.1894 1.5845 Sr
-1.9433 -1.3611 2.8376 Sr
-1.2624 -2.0408 0.3406 N
0.1779 -2.2646 4.2388 N
1.7834 -4.1143 -1.0699 N
-0.1695 -5.6621 2.2634 N
0.0000 0.0000 0.0000 Pa
-0.4693 -3.1524 -1.8180 Pr
```

Computed properties:
The raw formation energy is -1265 meV per atom.

***

Record 18
Material: PrPaTaN3
Method: DFT, PBE-GGA
State: optimized geometry

Cell and atoms, written as POSCAR:
```
PrPaTaN3
1.0
3.4136 0.0000 0.0000
0.0000 7.2974 1.0365
0.0000 -1.7331 7.8387
N Pa Ta Pr
6 2 2 2
Cartesian
2.5602 6.0349 2.1132 N
2.5602 2.8085 1.2746 N
2.5602 0.5364 3.6069 N
0.8534 -0.4706 6.7620 N
0.8534 2.7558 7.6006 N
0.8534 5.0279 5.2683 N
0.8534 4.3129 1.9428 Pa
2.5602 1.2514 6.9324 Pa
2.5602 5.6087 4.2467 Ta
0.8534 -0.0444 4.6285 Ta
2.5602 4.8340 7.4200 Pr
0.8534 0.7303 1.4552 Pr
```

Computed properties:
The raw formation energy is -1072 meV per atom.

***

Record 19
Material: Pr2PaTaN4
Method: DFT, PBE-GGA
State: optimized geometry

Cell and atoms, written as POSCAR:
```
Pr2PaTaN4
1.0
3.4208 0.0000 0.0000
0.0000 5.9381 0.1387
0.0000 -2.0410 5.7839
N Pr Pa Ta
4 2 1 1
Cartesian
0.0000 4.0653 1.2587 N
1.7104 3.0005 4.7672 N
1.7104 0.8967 1.1554 N
0.0000 -0.1682 4.6639 N
1.7104 -1.0205 2.8919 Pr
0.0000 1.9486 2.9613 Pr
1.7104 2.9690 0.0694 Pa
0.0000 0.0000 0.0000 Ta
```

Computed properties:
The raw formation energy is -1364 meV per atom.

***

Record 20
Material: TbPr4Pa3N8
Method: DFT, PBE-GGA
State: optimized geometry

Cell and atoms, written as POSCAR:
```
TbPr4Pa3N8
1.0
7.1437 0.0000 0.0000
0.0000 7.2135 0.0438
-3.5719 -3.5681 5.0541
Pr Tb N Pa
4 1 8 3
Cartesian
0.0000 0.0000 0.0000 Pr
1.7859 -1.7840 2.5271 Pr
-1.7859 -1.7840 2.5271 Pr
3.5719 0.0000 0.0000 Pr
0.0000 3.6068 0.0219 Tb
3.5719 0.2569 2.6061 N
1.7155 1.6749 4.9192 N
1.8564 1.9705 0.1787 N
0.0000 0.2266 2.6843 N
0.0000 3.3885 2.4919 N
-1.7155 1.6749 4.9192 N
3.5719 3.4188 2.4137 N
5.2873 1.9705 0.1787 N
3.5719 3.6068 0.0219 Pa
-1.7859 1.8227 2.5490 Pa
1.7859 1.8227 2.5490 Pa
```

Computed properties:
The raw formation energy is -1560 meV per atom.

***

E in eV/atom, matching the order above: -8.71 -7.16 -8.09 -8.88 -9.03 -9.48 -7.67 -8.61 -9.15 -8.97 -8.71 -8.88 -7.88 -7.98 -9.39 -8.06 -7.63 -9.59 -9.39 -8.99